DFT (GGA-PBE) results for a relaxed Si3SeN crystal.

Values from the calculation:
The uncorrected formation energy is 799.8 meV per atom. The calculation puts the raw total energy at -4.816 eV/atom. As for the energy above the most stable polymorph in this dataset: 0.000 eV/atom.

a b c (Å): 4.2325 4.2325 4.2325
angles (deg): 90.00 90.00 90.00
Last column: nearest neighbours and their distance in Å.
Positions (direct):
1 Si 0.0000 0.0000 0.5000  2 N 2.12
2 Si 0.0000 0.5000 0.0000  2 N 2.12
3 Si 0.5000 0.0000 0.0000  2 N 2.12
4 Se 0.5000 0.5000 0.5000  12 Si 2.99
5 N 0.0000 0.0000 0.0000  6 Si 2.12